Entry 1:
Material: EuTaOs2
Method: DFT, PBE
State: optimized geometry

Calculated values
Calculated total energy in eV/cell: -44.5
M_tot in μB/f.u.: 6.6
N(E_F) in states/eV per cell: 5.77
Space-group type: P4/mmm (123)

a = 3.192 Å, b = 3.192 Å, c = 7.311 Å
α = 90.00°, β = 90.00°, γ = 90.00°
Site moments in Bohr magnetons follow the coordinates.
Sites, in units of the cell vectors:
1 Os 0.000 0.000 0.206  -0.16
2 Os 0.000 0.000 0.794  -0.16
3 Eu 0.500 0.500 0.500  6.69
4 Ta 0.500 0.500 0.000  0.06

=====

Entry 2:
Material: Be5Rh3
Method: DFT, PBE
State: optimized geometry

Calculated values
Calculated total energy in eV/cell: -45.5
M_tot in μB/f.u.: 0.0
N(E_F) in states/eV per cell: 1.91
Space-group type: Cmmm (65)
Relative energy among the computed polymorphs in kJ/mol of formula units: 0

a = 4.676 Å, b = 4.676 Å, c = 3.849 Å
α = 90.00°, β = 90.00°, γ = 104.96°
Sites, in units of the cell vectors:
1 Be 0.000 0.000 0.000
2 Be 0.714 0.714 0.500
3 Be 0.286 0.286 0.500
4 Be 0.500 0.000 0.000
5 Be 0.000 0.500 0.000
6 Rh 0.218 0.782 0.500
7 Rh 0.500 0.500 0.000
8 Rh 0.782 0.218 0.500

=====

Entry 3:
Material: La2PtAu
Method: DFT, PBE
State: optimized geometry

Calculated values
Calculated total energy in eV/cell: -23.0
M_tot in μB/f.u.: 0.0
N(E_F) in states/eV per cell: 2.55
Space-group type: R3m (160)

a = 4.281 Å, b = 4.281 Å, c = 7.734 Å
α = 73.93°, β = 73.93°, γ = 60.00°
Sites, in units of the cell vectors:
1 Pt 0.666 0.666 0.003
2 La 0.258 0.258 0.225
3 La 0.075 0.075 0.774
4 Au 0.501 0.501 0.498

=====

Entry 4:
Material: NaPtW2
Method: DFT, PBE
State: optimized geometry

Calculated values
Calculated total energy in eV/cell: -29.1
M_tot in μB/f.u.: 0.0
N(E_F) in states/eV per cell: 3.85
Space-group type: Fm-3m (225)
Relative energy among the computed polymorphs in kJ/mol of formula units: 0

a = 4.509 Å, b = 4.509 Å, c = 4.509 Å
α = 60.00°, β = 60.00°, γ = 60.00°
Sites, in units of the cell vectors:
1 Pt 0.500 0.500 0.500
2 W 0.250 0.250 0.250
3 W 0.750 0.750 0.750
4 Na 0.000 0.000 0.000

=====

Entry 5:
Material: LiPr2N
Method: DFT, PBE
State: optimized geometry

Calculated values
Calculated total energy in eV/cell: -21.8
M_tot in μB/f.u.: 0.0
N(E_F) in states/eV per cell: 2.90
Space-group type: R-3m (166)
Formation energy without anion corrections in eV per atom: -0.510
Relative energy among the computed polymorphs in kJ/mol of formula units: 0

a = 3.606 Å, b = 3.606 Å, c = 9.879 Å
α = 79.48°, β = 79.48°, γ = 60.00°
Sites, in units of the cell vectors:
1 Pr 0.882 0.882 0.355
2 Pr 0.118 0.118 0.645
3 N 0.500 0.500 0.500
4 Li 0.000 0.000 0.000

=====

Entry 6:
Material: Cu2Pd2Pt
Method: DFT, PBE
State: optimized geometry

Calculated values
Calculated total energy in eV/cell: -48.3
M_tot in μB/f.u.: 0.0
N(E_F) in states/eV per cell: 8.17
Space-group type: P4/mbm (127)
Relative energy among the computed polymorphs in kJ/mol of formula units: 64

a = 7.222 Å, b = 7.222 Å, c = 2.812 Å
α = 90.00°, β = 90.00°, γ = 90.00°
Sites, in units of the cell vectors:
1 Pt 0.000 0.000 0.000
2 Pt 0.500 0.500 0.000
3 Cu 0.663 0.837 0.500
4 Cu 0.337 0.163 0.500
5 Cu 0.837 0.337 0.500
6 Cu 0.163 0.663 0.500
7 Pd 0.635 0.135 0.000
8 Pd 0.365 0.865 0.000
9 Pd 0.865 0.635 0.000
10 Pd 0.135 0.365 0.000

=====

Entry 7:
Material: NiIr2Os2
Method: DFT, PBE
State: optimized geometry

Calculated values
Calculated total energy in eV/cell: -45.4
M_tot in μB/f.u.: 0.0
N(E_F) in states/eV per cell: 4.05
Space-group type: Cmmm (65)

a = 2.713 Å, b = 4.365 Å, c = 6.328 Å
α = 110.18°, β = 90.00°, γ = 90.00°
Sites, in units of the cell vectors:
1 Ir 0.500 0.614 0.227
2 Ir 0.500 0.386 0.773
3 Os 0.000 0.814 0.629
4 Os 0.000 0.186 0.371
5 Ni 0.500 0.000 0.000

=====

Entry 8:
Material: Ir3Ru
Method: DFT, PBE
State: optimized geometry

Calculated values
Calculated total energy in eV/cell: -35.9
M_tot in μB/f.u.: 0.0
N(E_F) in states/eV per cell: 3.86
Space-group type: Cmmm (65)

a = 4.725 Å, b = 4.725 Å, c = 2.730 Å
α = 90.00°, β = 90.00°, γ = 109.61°
Sites, in units of the cell vectors:
1 Ru 0.500 0.500 0.000
2 Ir 0.000 0.500 0.500
3 Ir 0.000 0.000 0.000
4 Ir 0.500 0.000 0.500

=====

Entry 9:
Material: ScAl5Pd6
Method: DFT, PBE
State: optimized geometry

Calculated values
Calculated total energy in eV/cell: -66.9
M_tot in μB/f.u.: 0.0
N(E_F) in states/eV per cell: 4.39
Space-group type: P2/m (10)

a = 4.378 Å, b = 6.358 Å, c = 6.893 Å
α = 90.00°, β = 108.67°, γ = 90.00°
Sites, in units of the cell vectors:
1 Pd 0.500 0.738 0.000
2 Pd 0.172 0.742 0.342
3 Pd 0.172 0.258 0.342
4 Pd 0.828 0.742 0.658
5 Pd 0.828 0.258 0.658
6 Pd 0.500 0.262 0.000
7 Al 0.668 0.000 0.336
8 Al 0.000 0.500 0.000
9 Al 0.337 0.500 0.673
10 Al 0.663 0.500 0.327
11 Al 0.332 0.000 0.664
12 Sc 0.000 0.000 0.000

=====

Entry 10:
Material: Sr2LaP
Method: DFT, PBE
State: optimized geometry

Calculated values
Calculated total energy in eV/cell: -15.7
M_tot in μB/f.u.: 0.0
N(E_F) in states/eV per cell: 3.85
Space-group type: Amm2 (38)
Relative energy among the computed polymorphs in kJ/mol of formula units: 22

a = 8.257 Å, b = 8.257 Å, c = 4.108 Å
α = 90.00°, β = 90.00°, γ = 146.54°
Sites, in units of the cell vectors:
1 P 0.345 0.655 0.500
2 Sr 0.886 0.114 0.000
3 Sr 0.547 0.453 0.500
4 La 0.216 0.784 0.000